Entry 1:
# Cs2Co2S3

Crystalline Cs2Co2S3 at its relaxed geometry (PBE-GGA, the Alexandria database).

magnetic moment	0.946	μB per formula unit
energy	-4.6857	eV/atom
Fermi-level density of states	4.57	states/eV/f.u.

abc: 12.0056 3.8878 8.5511
angles: 90.00 121.42 90.00
Space group C2/m (No. 12)
Unique sites:
Cs: 0.0717 0.0000 0.3462 [4 per cell]
Co: 0.1991 0.5000 0.0535 [4 per cell]
S: 0.0000 0.5000 0.0000 [2 per cell]
S: 0.2128 0.5000 0.8083 [4 per cell]



Entry 2:
# CsCoS3

Crystalline CsCoS3 at its relaxed geometry (PBE-GGA, the Alexandria database).

magnetic moment	0.000	μB per formula unit
energy	-4.3644	eV/atom
Fermi-level density of states	2.01	states/eV/f.u.

abc: 3.3348 8.8345 9.1779
angles: 111.04 90.00 90.06
Space group P-1 (No. 2)
Unique sites:
Cs: 0.2494 0.1790 0.2790 [2 per cell]
Co: 0.2496 0.2696 0.8317 [2 per cell]
S: 0.2499 0.5627 0.1954 [2 per cell]
S: 0.2506 0.7949 0.0341 [2 per cell]
S: 0.2506 0.8015 0.3616 [2 per cell]



Entry 3:
# Cs2ScCoS4

Crystalline Cs2ScCoS4 at its relaxed geometry (PBE-GGA, the Alexandria database).

magnetic moment	3.996	μB per formula unit
energy	-5.0432	eV/atom
Fermi-level density of states	5.25	states/eV/f.u.

abc: 5.8154 14.4322 25.6797
angles: 90.00 90.00 90.00
Space group Fddd (No. 70, origin choice 2)
Unique sites:
Cs: 0.1250 0.1250 0.3014 [16 per cell]
Sc: 0.1250 0.1250 0.1250 [8 per cell]
Co: 0.1250 0.1250 0.6250 [8 per cell]
S: 0.0993 0.2832 0.8258 [32 per cell]



Entry 4:
# CsCoSn2S

Crystalline CsCoSn2S at its relaxed geometry (PBE-GGA, the Alexandria database).

magnetic moment	1.299	μB per formula unit
energy	-3.7047	eV/atom
Fermi-level density of states	5.18	states/eV/f.u.

abc: 5.9342 5.9342 4.1886
angles: 90.00 90.00 90.00
Space group P4/mmm (No. 123)
Unique sites:
Cs: 0.0000 0.0000 0.0000 [1 per cell]
Co: 0.5000 0.5000 0.0000 [1 per cell]
Sn: 0.0000 0.5000 0.5000 [2 per cell]
S: 0.5000 0.5000 0.5000 [1 per cell]